Record 1
ScGaSb2I | PBE | optimized geometry

a = 5.263 Å, b = 5.263 Å, c = 5.611 Å
α = 90.00°, β = 90.00°, γ = 90.00°
Positions (direct):
Sc  0.000  0.000  0.000
Ga  0.500  0.500  0.500
Sb  0.000  0.500  0.500
Sb  0.500  0.000  0.500
I  0.500  0.500  0.000

Values from the calculation:
- calculated volume (Å³ per atom) = 31.1
- space-group type = P4/mmm (123)
- distance to the lowest polymorph of the same formula (meV per atom) = 334.4
- crystal system = tetragonal
- energy relative to the elements, uncorrected (eV/f.u.) = 1.71
- E (eV per atom) = -3.49

***

Record 2
GaSb2SeI | PBE | optimized geometry

a = 5.446 Å, b = 5.446 Å, c = 5.285 Å
α = 90.00°, β = 90.00°, γ = 90.00°
Positions (direct):
Ga  0.000  0.000  0.000
Sb  0.000  0.500  0.000
Sb  0.500  0.000  0.000
Se  0.500  0.500  0.500
I  0.000  0.000  0.500

Values from the calculation:
- calculated volume (Å³ per atom) = 31.4
- space-group type = P4/mmm (123)
- distance to the lowest polymorph of the same formula (meV per atom) = 51.2
- crystal system = tetragonal
- energy relative to the elements, uncorrected (eV/f.u.) = 2.96
- E (eV per atom) = -2.67

***

Record 3
GaSbSeI2 | PBE | optimized geometry

a = 5.428 Å, b = 5.428 Å, c = 5.717 Å
α = 90.00°, β = 90.00°, γ = 90.00°
Positions (direct):
Ga  0.000  0.000  0.000
Sb  0.000  0.000  0.500
Se  0.500  0.500  0.500
I  0.000  0.500  0.000
I  0.500  0.000  0.000

Values from the calculation:
- calculated volume (Å³ per atom) = 33.7
- space-group type = P4/mmm (123)
- distance to the lowest polymorph of the same formula (meV per atom) = 116.3
- crystal system = tetragonal
- energy relative to the elements, uncorrected (eV/f.u.) = 2.32
- E (eV per atom) = -2.28

***

Record 4
GaSb2SeI | PBE | optimized geometry

a = 5.473 Å, b = 5.473 Å, c = 5.950 Å
α = 90.00°, β = 90.00°, γ = 90.00°
Positions (direct):
Ga  0.000  0.000  0.000
Sb  0.000  0.500  0.500
Sb  0.500  0.000  0.500
Se  0.500  0.500  0.500
I  0.500  0.500  0.000

Values from the calculation:
- calculated volume (Å³ per atom) = 35.6
- space-group type = P4/mmm (123)
- distance to the lowest polymorph of the same formula (meV per atom) = 0.0
- crystal system = tetragonal
- energy relative to the elements, uncorrected (eV/f.u.) = 2.70
- E (eV per atom) = -2.72

***

Record 5
GaSbSeI2 | PBE | optimized geometry

a = 5.941 Å, b = 5.941 Å, c = 5.435 Å
α = 90.00°, β = 90.00°, γ = 90.00°
Positions (direct):
Ga  0.000  0.000  0.000
Sb  0.500  0.500  0.000
Se  0.500  0.500  0.500
I  0.000  0.500  0.500
I  0.500  0.000  0.500

Values from the calculation:
- calculated volume (Å³ per atom) = 38.4
- space-group type = P4/mmm (123)
- distance to the lowest polymorph of the same formula (meV per atom) = 0.0
- crystal system = tetragonal
- energy relative to the elements, uncorrected (eV/f.u.) = 1.74
- E (eV per atom) = -2.40

***

Record 6
GaSiSbI2 | PBE | optimized geometry

a = 5.519 Å, b = 5.519 Å, c = 5.480 Å
α = 90.00°, β = 90.00°, γ = 90.00°
Positions (direct):
Ga  0.000  0.000  0.000
Si  0.500  0.500  0.500
Sb  0.000  0.000  0.500
I  0.000  0.500  0.000
I  0.500  0.000  0.000

Values from the calculation:
- calculated volume (Å³ per atom) = 33.4
- space-group type = P4/mmm (123)
- distance to the lowest polymorph of the same formula (meV per atom) = 356.7
- crystal system = tetragonal
- energy relative to the elements, uncorrected (eV/f.u.) = 3.50
- E (eV per atom) = -2.43

***

Record 7
GaSiSbI2 | PBE | optimized geometry

a = 5.603 Å, b = 5.603 Å, c = 5.413 Å
α = 90.00°, β = 90.00°, γ = 90.00°
Positions (direct):
Ga  0.000  0.000  0.000
Si  0.500  0.500  0.500
Sb  0.500  0.500  0.000
I  0.000  0.500  0.500
I  0.500  0.000  0.500

Values from the calculation:
- calculated volume (Å³ per atom) = 34.0
- space-group type = P4/mmm (123)
- distance to the lowest polymorph of the same formula (meV per atom) = 0.0
- crystal system = tetragonal
- energy relative to the elements, uncorrected (eV/f.u.) = 1.72
- E (eV per atom) = -2.79

***

Record 8
GaSnSbI2 | PBE | optimized geometry

a = 5.587 Å, b = 5.587 Å, c = 5.526 Å
α = 90.00°, β = 90.00°, γ = 90.00°
Positions (direct):
Ga  0.000  0.000  0.000
Sn  0.500  0.500  0.500
Sb  0.000  0.000  0.500
I  0.000  0.500  0.000
I  0.500  0.000  0.000

Values from the calculation:
- calculated volume (Å³ per atom) = 34.5
- space-group type = P4/mmm (123)
- distance to the lowest polymorph of the same formula (meV per atom) = 17.3
- crystal system = tetragonal
- energy relative to the elements, uncorrected (eV/f.u.) = 1.24
- E (eV per atom) = -2.60

***

Record 9
GaSnSbI2 | PBE | optimized geometry

a = 6.136 Å, b = 6.136 Å, c = 5.894 Å
α = 90.00°, β = 90.00°, γ = 90.00°
Positions (direct):
Ga  0.000  0.000  0.000
Sn  0.500  0.500  0.500
Sb  0.500  0.500  0.000
I  0.000  0.500  0.500
I  0.500  0.000  0.500

Values from the calculation:
- calculated volume (Å³ per atom) = 44.4
- space-group type = P4/mmm (123)
- distance to the lowest polymorph of the same formula (meV per atom) = 0.0
- crystal system = tetragonal
- energy relative to the elements, uncorrected (eV/f.u.) = 1.15
- E (eV per atom) = -2.62

***

Record 10
GaSnSb2I | PBE | optimized geometry

a = 5.365 Å, b = 5.365 Å, c = 5.623 Å
α = 90.00°, β = 90.00°, γ = 90.00°
Positions (direct):
Ga  0.000  0.000  0.000
Sn  0.500  0.500  0.500
Sb  0.000  0.500  0.000
Sb  0.500  0.000  0.000
I  0.000  0.000  0.500

Values from the calculation:
- calculated volume (Å³ per atom) = 32.4
- space-group type = P4/mmm (123)
- distance to the lowest polymorph of the same formula (meV per atom) = 0.0
- crystal system = tetragonal
- energy relative to the elements, uncorrected (eV/f.u.) = 2.18
- E (eV per atom) = -2.93

***

Record 11
GaSnSb2I | PBE | optimized geometry

a = 5.702 Å, b = 5.702 Å, c = 6.236 Å
α = 90.00°, β = 90.00°, γ = 90.00°
Positions (direct):
Ga  0.000  0.000  0.000
Sn  0.500  0.500  0.500
Sb  0.000  0.500  0.500
Sb  0.500  0.000  0.500
I  0.500  0.500  0.000

Values from the calculation:
- calculated volume (Å³ per atom) = 40.6
- space-group type = P4/mmm (123)
- distance to the lowest polymorph of the same formula (meV per atom) = 103.3
- crystal system = tetragonal
- energy relative to the elements, uncorrected (eV/f.u.) = 2.69
- E (eV per atom) = -2.83

***

Record 12
SrGaSbI2 | PBE | optimized geometry

a = 6.350 Å, b = 6.350 Å, c = 6.582 Å
α = 90.00°, β = 90.00°, γ = 90.00°
Positions (direct):
Sr  0.000  0.000  0.000
Ga  0.500  0.500  0.500
Sb  0.000  0.000  0.500
I  0.000  0.500  0.000
I  0.500  0.000  0.000

Values from the calculation:
- calculated volume (Å³ per atom) = 53.1
- space-group type = P4/mmm (123)
- distance to the lowest polymorph of the same formula (meV per atom) = 187.5
- crystal system = tetragonal
- energy relative to the elements, uncorrected (eV/f.u.) = -1.20
- E (eV per atom) = -2.63